[1]
## MgCdBi2 (PBE-GGA)

Data for a relaxed MgCdBi2 crystal.

Cell and atoms, written as POSCAR:
```
MgCdBi2
1.0
-2.576 -3.238 2.407
1.666 -1.810 4.106
-3.044 2.789 5.255
Bi Cd Mg
2 1 1
direct
0.074 0.074 0.777 Bi
0.256 0.256 0.232 Bi
0.500 0.500 0.500 Cd
0.670 0.670 0.990 Mg
```

Summary:
DOS(E_F): 1.46 states/eV/f.u.
Symmetry: R3m, No. 160
Excess energy over the best structure of this formula in the dataset: 1 kJ/mol of formula units
E_tot: -10.297 eV per formula unit
Energy of formation from the pure elements: -0.02 eV per formula unit

[2]
## Mn2VPdCl (PBE-GGA)

Data for a relaxed Mn2VPdCl crystal.

Cell and atoms, written as POSCAR:
```
Mn2VPdCl
1.0
4.904 0.000 0.000
0.000 4.764 0.000
0.000 0.000 4.904
V Mn Cl Pd
1 2 1 1
direct
0.500 0.500 0.500 V
0.000 0.000 0.500 Mn
0.500 0.000 0.000 Mn
0.000 0.500 0.000 Cl
0.000 0.000 0.000 Pd
```

Summary:
DOS(E_F): 8.39 states/eV/f.u.
E_form (uncorrected): 1.307 eV/atom
Symmetry: P4/mmm, No. 123
Excess energy over the best structure of this formula in the dataset: 263 kJ/mol of formula units
E_tot: -27.960 eV per formula unit

[3]
## PmDyAgHg (PBE-GGA)

Data for a relaxed PmDyAgHg crystal.

Cell and atoms, written as POSCAR:
```
PmDyAgHg
1.0
3.708 0.000 0.000
0.000 3.708 0.000
0.000 0.000 7.511
Dy Pm Ag Hg
1 1 1 1
direct
0.500 0.500 0.600 Dy
0.500 0.500 0.111 Pm
0.000 0.000 0.372 Ag
0.000 0.000 0.845 Hg
```

Summary:
DOS(E_F): 3.53 states/eV/f.u.
Symmetry: P4mm, No. 99
E_tot: -14.051 eV per formula unit
Energy of formation from the pure elements: -1.54 eV per formula unit

[4]
## Pm3PrPt8 (PBE-GGA)

Data for a relaxed Pm3PrPt8 crystal.

Cell and atoms, written as POSCAR:
```
Pm3PrPt8
1.0
5.518 0.000 0.000
-2.759 4.778 0.000
0.000 0.000 9.042
Pt Pr Pm
8 1 3
direct
0.165 0.330 0.249 Pt
0.996 0.498 0.751 Pt
0.165 0.835 0.249 Pt
0.333 0.667 0.500 Pt
0.333 0.667 0.000 Pt
0.670 0.835 0.249 Pt
0.502 0.004 0.751 Pt
0.502 0.498 0.751 Pt
0.000 0.000 0.566 Pr
0.000 0.000 0.937 Pm
0.667 0.333 0.064 Pm
0.667 0.333 0.433 Pm
```

Summary:
DOS(E_F): 4.79 states/eV/f.u.
Symmetry: P3m1, No. 156
E_tot: -79.468 eV per formula unit
Energy of formation from the pure elements: -12.11 eV per formula unit

[5]
## TaOs3Rh (PBE-GGA)

Data for a relaxed TaOs3Rh crystal.

Cell and atoms, written as POSCAR:
```
TaOs3Rh
1.0
4.690 0.000 0.000
0.000 4.690 0.000
0.000 0.000 4.690
Os Rh Ta
3 1 1
direct
0.000 0.000 0.500 Os
0.000 0.500 0.000 Os
0.500 0.000 0.000 Os
0.500 0.500 0.500 Rh
0.000 0.000 0.000 Ta
```

Summary:
DOS(E_F): 10.93 states/eV/f.u.
Symmetry: Pm-3m, No. 221
Excess energy over the best structure of this formula in the dataset: 582 kJ/mol of formula units
E_tot: -40.868 eV per formula unit
Energy of formation from the pure elements: 12.02 eV per formula unit

[6]
## AlCu2Ru (PBE-GGA)

Data for a relaxed AlCu2Ru crystal.

Cell and atoms, written as POSCAR:
```
AlCu2Ru
1.0
3.192 0.000 0.000
0.000 3.920 0.000
0.000 0.000 4.133
Al Ru Cu
1 1 2
direct
0.000 0.500 0.500 Al
0.500 0.000 0.500 Ru
0.000 0.000 0.000 Cu
0.500 0.500 0.000 Cu
```

Summary:
DOS(E_F): 1.48 states/eV/f.u.
Symmetry: Pmmm, No. 47
E_tot: -22.145 eV per formula unit
Energy of formation from the pure elements: -0.93 eV per formula unit